Record 1
Density functional theory data (PBE-GGA) for an optimized crystal structure of BeInAu3.

Calculated values
E above lowest polymorph in meV/atom: 1170.8
Magnetic moment in μB per formula unit: 0.000

Unit cell a=5.202 b=5.202 c=5.202 alpha=90.00 beta=90.00 gamma=90.00
Positions (direct):
Be: 0.000 0.000 0.000
In: 0.500 0.500 0.500
Au: 0.000 0.500 0.500
Au: 0.500 0.000 0.500
Au: 0.500 0.500 0.000



Record 2
Density functional theory data (PBE-GGA) for an optimized crystal structure of Be2InAu2.

Calculated values
E above lowest polymorph in meV/atom: 0.0
Magnetic moment in μB per formula unit: 0.000

Unit cell a=6.926 b=6.926 c=6.926 alpha=150.47 beta=150.47 gamma=42.26
Positions (direct):
Be: 0.250 0.750 0.500
Be: 0.750 0.250 0.500
In: 0.000 0.000 0.000
Au: 0.372 0.372 0.000
Au: 0.628 0.628 0.000



Record 3
Density functional theory data (PBE-GGA) for an optimized crystal structure of Be2InAu.

Calculated values
Total DFT energy (no corrections) in eV per atom: -3.1952
Magnetic moment in μB per formula unit: 0.000

Unit cell a=3.198 b=3.425 c=5.619 alpha=90.00 beta=90.00 gamma=90.00
Positions (direct):
Be: 0.000 0.000 0.000
Be: 0.500 0.500 0.016
In: 0.000 0.500 0.633
Au: 0.500 0.000 0.305



Record 4
Density functional theory data (PBE-GGA) for an optimized crystal structure of BeInAu2.

Calculated values
E above lowest polymorph in meV/atom: 5.3
Magnetic moment in μB per formula unit: 0.000

Unit cell a=3.050 b=3.050 c=7.247 alpha=90.00 beta=90.00 gamma=90.00
Positions (direct):
Be: 0.000 0.000 0.000
In: 0.000 0.000 0.500
Au: 0.500 0.500 0.197
Au: 0.500 0.500 0.803



Record 5
Density functional theory data (PBE-GGA) for an optimized crystal structure of Be2InAu2.

Calculated values
E above lowest polymorph in meV/atom: 144.7
Magnetic moment in μB per formula unit: 0.000

Unit cell a=7.378 b=7.378 c=2.865 alpha=90.00 beta=90.00 gamma=90.00
Positions (direct):
Be: 0.150 0.350 0.000
Be: 0.350 0.850 0.000
Be: 0.650 0.150 0.000
Be: 0.850 0.650 0.000
In: 0.000 0.000 0.500
In: 0.500 0.500 0.500
Au: 0.142 0.642 0.500
Au: 0.358 0.142 0.500
Au: 0.642 0.858 0.500
Au: 0.858 0.358 0.500



Record 6
Density functional theory data (PBE-GGA) for an optimized crystal structure of BeIn2Au.

Calculated values
Total DFT energy (no corrections) in eV per atom: -3.0575
Magnetic moment in μB per formula unit: 0.000

Unit cell a=3.151 b=3.151 c=8.141 alpha=90.00 beta=90.00 gamma=90.00
Positions (direct):
Be: 0.000 0.000 0.000
In: 0.000 0.000 0.597
In: 0.500 0.500 0.260
Au: 0.500 0.500 0.886



Record 7
Density functional theory data (PBE-GGA) for an optimized crystal structure of Be3In2Au8.

Calculated values
Total DFT energy (no corrections) in eV per atom: -3.4098
Magnetic moment in μB per formula unit: 0.000

Unit cell a=7.999 b=4.089 c=8.271 alpha=90.00 beta=118.74 gamma=90.00
Positions (direct):
Be: 0.000 0.000 0.000
Be: 0.249 0.500 0.000
Be: 0.751 0.500 0.000
In: 0.254 0.000 0.502
In: 0.746 0.000 0.498
Au: 0.102 0.500 0.207
Au: 0.152 0.000 0.796
Au: 0.354 0.000 0.203
Au: 0.398 0.500 0.796
Au: 0.602 0.500 0.204
Au: 0.646 0.000 0.797
Au: 0.848 0.000 0.204
Au: 0.898 0.500 0.793



Record 8
Density functional theory data (PBE-GGA) for an optimized crystal structure of Be2InAu.

Calculated values
Total DFT energy (no corrections) in eV per atom: -3.0879
Magnetic moment in μB per formula unit: 0.000

Unit cell a=4.023 b=4.023 c=3.624 alpha=90.00 beta=90.00 gamma=90.00
Positions (direct):
Be: 0.000 0.500 0.000
Be: 0.500 0.000 0.000
In: 0.000 0.000 0.500
Au: 0.500 0.500 0.500



Record 9
Density functional theory data (PBE-GGA) for an optimized crystal structure of BeInAu.

Calculated values
E above lowest polymorph in meV/atom: 136.9
Magnetic moment in μB per formula unit: 0.000

Unit cell a=4.208 b=4.208 c=4.208 alpha=60.00 beta=60.00 gamma=60.00
Positions (direct):
Be: 0.000 0.000 0.000
In: 0.250 0.250 0.250
Au: 0.750 0.750 0.750



Record 10
Density functional theory data (PBE-GGA) for an optimized crystal structure of BeInAu2.

Calculated values
E above lowest polymorph in meV/atom: 63.1
Magnetic moment in μB per formula unit: 0.000

Unit cell a=4.415 b=3.794 c=4.556 alpha=90.00 beta=100.97 gamma=90.00
Positions (direct):
Be: 0.000 0.000 0.000
In: 0.113 0.500 0.460
Au: 0.509 0.000 0.257
Au: 0.714 0.500 0.853



Record 11
Density functional theory data (PBE-GGA) for an optimized crystal structure of BeIn2Au.

Calculated values
Total DFT energy (no corrections) in eV per atom: -2.8308
Magnetic moment in μB per formula unit: 0.000

Unit cell a=4.299 b=4.299 c=4.162 alpha=90.00 beta=90.00 gamma=90.00
Positions (direct):
Be: 0.000 0.000 0.000
In: 0.000 0.500 0.500
In: 0.500 0.000 0.500
Au: 0.500 0.500 0.000



Record 12
Density functional theory data (PBE-GGA) for an optimized crystal structure of BeInAu.

Calculated values
E above lowest polymorph in meV/atom: 242.5
Magnetic moment in μB per formula unit: 0.000

Unit cell a=3.202 b=3.202 c=6.092 alpha=90.00 beta=90.00 gamma=120.00
Positions (direct):
Be: 0.000 0.000 0.000
In: 0.667 0.333 0.352
Au: 0.333 0.667 0.762



Record 13
Density functional theory data (PBE-GGA) for an optimized crystal structure of BeInAu2.

Calculated values
E above lowest polymorph in meV/atom: 55.5
Magnetic moment in μB per formula unit: 0.000

Unit cell a=3.348 b=3.348 c=6.337 alpha=90.00 beta=90.00 gamma=90.00
Positions (direct):
Be: 0.000 0.000 0.000
In: 0.500 0.500 0.353
Au: 0.000 0.000 0.614
Au: 0.500 0.500 0.916



Record 14
Density functional theory data (PBE-GGA) for an optimized crystal structure of BeIn3Au.

Calculated values
E above lowest polymorph in meV/atom: 0.0
Magnetic moment in μB per formula unit: 0.000

Unit cell a=4.892 b=4.892 c=4.892 alpha=90.00 beta=90.00 gamma=90.00
Positions (direct):
Be: 0.000 0.000 0.000
In: 0.000 0.000 0.500
In: 0.000 0.500 0.000
In: 0.500 0.000 0.000
Au: 0.500 0.500 0.500



Record 15
Density functional theory data (PBE-GGA) for an optimized crystal structure of BeInAu4.

Calculated values
E above lowest polymorph in meV/atom: 0.0
Magnetic moment in μB per formula unit: 0.000

Unit cell a=6.803 b=6.803 c=5.296 alpha=99.86 beta=99.86 gamma=114.63
Positions (direct):
Be: 0.003 0.997 0.750
Be: 0.997 0.003 0.250
In: 0.388 0.612 0.750
In: 0.612 0.388 0.250
Au: 0.061 0.729 0.444
Au: 0.185 0.399 0.148
Au: 0.271 0.939 0.056
Au: 0.399 0.185 0.648
Au: 0.601 0.815 0.352
Au: 0.729 0.061 0.944
Au: 0.815 0.601 0.852
Au: 0.939 0.271 0.556



Record 16
Density functional theory data (PBE-GGA) for an optimized crystal structure of Be2InAu.

Calculated values
Total DFT energy (no corrections) in eV per atom: -3.0856
Magnetic moment in μB per formula unit: 0.000

Unit cell a=3.339 b=4.182 c=4.908 alpha=90.00 beta=100.07 gamma=90.00
Positions (direct):
Be: 0.240 0.000 0.200
Be: 0.760 0.000 0.800
In: 0.500 0.500 0.500
Au: 0.000 0.500 0.000



Record 17
Density functional theory data (PBE-GGA) for an optimized crystal structure of BeInAu2.

Calculated values
E above lowest polymorph in meV/atom: 18.8
Magnetic moment in μB per formula unit: 0.000

Unit cell a=3.792 b=3.792 c=6.415 alpha=105.40 beta=105.40 gamma=58.15
Positions (direct):
Be: 0.000 0.000 0.000
In: 0.500 0.500 0.500
Au: 0.277 0.277 0.823
Au: 0.723 0.723 0.177



Record 18
Density functional theory data (PBE-GGA) for an optimized crystal structure of BeInAu4.

Calculated values
E above lowest polymorph in meV/atom: 54.3
Magnetic moment in μB per formula unit: 0.000

Unit cell a=8.979 b=8.979 c=4.778 alpha=101.22 beta=101.22 gamma=34.94
Positions (direct):
Be: 0.000 0.500 0.000
Be: 0.500 0.000 0.500
In: 0.200 0.800 0.750
In: 0.800 0.200 0.250
Au: 0.034 0.324 0.370
Au: 0.243 0.555 0.181
Au: 0.324 0.034 0.870
Au: 0.445 0.757 0.319
Au: 0.555 0.243 0.681
Au: 0.676 0.966 0.130
Au: 0.757 0.445 0.819
Au: 0.966 0.676 0.630



Record 19
Density functional theory data (PBE-GGA) for an optimized crystal structure of BeInAu.

Calculated values
E above lowest polymorph in meV/atom: 174.9
Magnetic moment in μB per formula unit: 0.000

Unit cell a=4.115 b=4.115 c=3.687 alpha=90.00 beta=90.00 gamma=120.00
Positions (direct):
Be: 0.000 0.000 0.000
In: 0.667 0.333 0.500
Au: 0.333 0.667 0.000



Record 20
Density functional theory data (PBE-GGA) for an optimized crystal structure of BeIn2Au.

Calculated values
Total DFT energy (no corrections) in eV per atom: -2.9447
Magnetic moment in μB per formula unit: 0.000

Unit cell a=6.694 b=6.694 c=6.694 alpha=96.67 beta=96.67 gamma=140.16
Positions (direct):
Be: 0.000 0.000 0.000
Be: 0.750 0.250 0.500
In: 0.375 0.243 0.368
In: 0.757 0.125 0.132
In: 0.875 0.007 0.632
In: 0.993 0.625 0.868
Au: 0.250 0.750 0.500
Au: 0.500 0.500 0.000



Record 21
Density functional theory data (PBE-GGA) for an optimized crystal structure of BeInAu.

Calculated values
E above lowest polymorph in meV/atom: 274.1
Magnetic moment in μB per formula unit: 0.000

Unit cell a=4.746 b=4.746 c=4.746 alpha=135.98 beta=135.15 gamma=64.65
Positions (direct):
Be: 0.000 0.000 0.000
In: 0.672 0.672 0.000
Au: 0.336 0.336 0.000



Record 22
Density functional theory data (PBE-GGA) for an optimized crystal structure of Be2InAu.

Calculated values
Total DFT energy (no corrections) in eV per atom: -3.0792
Magnetic moment in μB per formula unit: 0.000

Unit cell a=5.620 b=5.620 c=5.620 alpha=150.63 beta=135.92 gamma=53.86
Positions (direct):
Be: 0.000 0.000 0.000
Be: 0.798 0.298 0.500
In: 0.307 0.807 0.500
Au: 0.584 0.584 0.000



Record 23
Density functional theory data (PBE-GGA) for an optimized crystal structure of Be2InAu.

Calculated values
Total DFT energy (no corrections) in eV per atom: -3.0431
Magnetic moment in μB per formula unit: 0.000

Unit cell a=5.004 b=5.004 c=3.269 alpha=104.54 beta=104.54 gamma=114.64
Positions (direct):
Be: 0.000 0.500 0.000
Be: 0.500 0.000 0.000
In: 0.000 0.000 0.000
Au: 0.500 0.500 0.000



Record 24
Density functional theory data (PBE-GGA) for an optimized crystal structure of BeInAu3.

Calculated values
E above lowest polymorph in meV/atom: 0.0
Magnetic moment in μB per formula unit: 0.000

Unit cell a=4.663 b=4.673 c=8.920 alpha=75.43 beta=87.83 gamma=80.63
Positions (direct):
Be: 0.119 0.182 0.428
Be: 0.881 0.818 0.572
In: 0.353 0.225 0.853
In: 0.647 0.775 0.147
Au: 0.149 0.319 0.137
Au: 0.155 0.700 0.355
Au: 0.378 0.826 0.646
Au: 0.622 0.174 0.354
Au: 0.845 0.300 0.645
Au: 0.851 0.681 0.863



Record 25
Density functional theory data (PBE-GGA) for an optimized crystal structure of BeIn2Au.

Calculated values
Total DFT energy (no corrections) in eV per atom: -2.9116
Magnetic moment in μB per formula unit: 0.000

Unit cell a=8.535 b=8.535 c=8.535 alpha=22.26 beta=22.26 gamma=22.26
Positions (direct):
Be: 0.000 0.000 0.000
In: 0.256 0.256 0.256
In: 0.744 0.744 0.744
Au: 0.500 0.500 0.500



Record 26
Density functional theory data (PBE-GGA) for an optimized crystal structure of BeIn2Au.

Calculated values
Total DFT energy (no corrections) in eV per atom: -3.0823
Magnetic moment in μB per formula unit: 0.000

Unit cell a=4.148 b=4.148 c=6.046 alpha=108.86 beta=108.86 gamma=59.95
Positions (direct):
Be: 0.000 0.000 0.000
In: 0.228 0.228 0.679
In: 0.430 0.430 0.299
Au: 0.663 0.663 0.987



Record 27
Density functional theory data (PBE-GGA) for an optimized crystal structure of Be2InAu8.

Calculated values
E above lowest polymorph in meV/atom: 0.0
Magnetic moment in μB per formula unit: 0.000

Unit cell a=6.826 b=6.826 c=4.500 alpha=99.24 beta=99.24 gamma=111.05
Positions (direct):
Be: 0.177 0.823 0.000
Be: 0.823 0.177 0.000
In: 0.500 0.500 0.500
Au: 0.117 0.117 0.313
Au: 0.171 0.437 0.912
Au: 0.247 0.753 0.500
Au: 0.437 0.171 0.912
Au: 0.563 0.829 0.088
Au: 0.753 0.247 0.500
Au: 0.829 0.563 0.088
Au: 0.883 0.883 0.687



Record 28
Density functional theory data (PBE-GGA) for an optimized crystal structure of BeInAu2.

Calculated values
E above lowest polymorph in meV/atom: 173.8
Magnetic moment in μB per formula unit: 0.000

Unit cell a=4.254 b=4.254 c=3.814 alpha=90.00 beta=90.00 gamma=94.28
Positions (direct):
Be: 0.000 0.000 0.000
In: 0.500 0.500 0.000
Au: 0.000 0.500 0.500
Au: 0.500 0.000 0.500